Density functional theory data (PBE-GGA) for a relaxed structure of TbPaRuAu.

The structure in extended XYZ format:
```
4
Lattice="4.9770 0.0000 0.0000 2.4885 4.3102 0.0000 2.4885 1.4367 4.0637" Properties=species:S:1:pos:R:3 pbc="T T T"
Ru 7.4655 4.3102 3.0478
Tb 4.9770 2.8735 2.0319
Au 2.4885 1.4367 1.0159
Pa 0.0000 0.0000 0.0000
```

Results
**Crystal system**: cubic
**Formation enthalpy at 0 K**: -0.3543 eV/atom
**Magnetic moment**: 0.001 μB/atom
**Mass density**: 13105 kg/m³
**Final energy**: -7.024 eV/atom